Record 1
This record from Alexandria describes an optimized crystal structure of La5Cd2Ni. The functional is PBE.

POSCAR file:
```
La5Cd2Ni
1.0
5.4580 0.0000 0.0000
0.0000 6.8554 0.0000
0.0000 0.0000 12.8421
La Cd Ni
10 4 2
Direct
0.0000 0.0000 0.5000 La
0.0000 0.5000 0.0000 La
0.0000 0.8829 0.2036 La
0.0000 0.1171 0.7964 La
0.0000 0.6171 0.7036 La
0.0000 0.3829 0.2964 La
0.5000 0.6494 0.4038 La
0.5000 0.3506 0.5962 La
0.5000 0.8506 0.9038 La
0.5000 0.1494 0.0962 La
0.5000 0.6198 0.1467 Cd
0.5000 0.3802 0.8533 Cd
0.5000 0.8802 0.6467 Cd
0.5000 0.1198 0.3533 Cd
0.0000 0.5000 0.5000 Ni
0.0000 0.0000 0.0000 Ni
```

## Properties
Its energy is -4.25 eV/atom. Its crystal system is orthorhombic. The calculation puts the density of states at the Fermi level at 19.72 states/eV/cell.


Record 2
This record from Alexandria describes an optimized crystal structure of Pr2ZnPd6. The functional is PBE.

POSCAR file:
```
Pr2ZnPd6
1.0
5.7883 0.0000 0.0000
-2.8941 4.8357 1.1181
0.0000 0.1208 6.1762
Pr Zn Pd
2 1 6
Direct
0.6431 0.2863 0.1660 Pr
0.3569 0.7137 0.8340 Pr
0.0000 0.0000 0.0000 Zn
0.8710 0.2625 0.6822 Pd
0.8756 0.7513 0.6911 Pd
0.3915 0.2625 0.6822 Pd
0.1290 0.7375 0.3178 Pd
0.1244 0.2487 0.3089 Pd
0.6085 0.7375 0.3178 Pd
```

## Properties
Its energy above the most stable polymorph in this dataset is 14 meV per atom. Its crystal system is monoclinic. The calculation puts the density of states at the Fermi level at 3.00 states/eV/cell.